Entry 1:
This record from the Alexandria database describes an optimized crystal structure of CuPtW2. The functional is GGA-PBE.

Properties
As for the energy above the most stable polymorph in this dataset: 698 meV/atom. Its symmetry is I-42d (122). The value obtained for the raw total energy is -8.30 eV per atom.

Cell lengths 7.0840, 7.0840, 5.2002 Å; angles 90.00, 90.00, 90.00 degrees
Last column: nearest neighbours and their distance in Å.
Fractional coordinates of all 16 atoms:
Cu1 0.0000 0.0000 0.0000  4 W 2.59, 2 Pt 2.60
Cu2 0.0000 0.5000 0.2500  4 W 2.59, 2 Pt 2.60
Cu3 0.5000 0.0000 0.7500  4 W 2.59, 2 Pt 2.60
Cu4 0.5000 0.5000 0.5000  4 W 2.59, 2 Pt 2.60
Pt1 0.0000 0.0000 0.5000  4 W 2.59, 2 Cu 2.60
Pt2 0.0000 0.5000 0.7500  4 W 2.59, 2 Cu 2.60
Pt3 0.5000 0.0000 0.2500  4 W 2.59, 2 Cu 2.60
Pt4 0.5000 0.5000 0.0000  4 W 2.59, 2 Cu 2.60
W1 0.2497 0.2500 0.1250  2 Cu 2.59, 2 Pt 2.59, 2 W 2.60
W2 0.2503 0.2500 0.6250  2 Cu 2.59, 2 Pt 2.59, 2 W 2.60
W3 0.2500 0.7497 0.3750  2 Cu 2.59, 2 Pt 2.59, 2 W 2.60
W4 0.2500 0.7503 0.8750  2 Cu 2.59, 2 Pt 2.59, 2 W 2.60
W5 0.7500 0.2503 0.3750  2 Cu 2.59, 2 Pt 2.59, 2 W 2.60
W6 0.7500 0.2497 0.8750  2 Cu 2.59, 2 Pt 2.59, 2 W 2.60
W7 0.7503 0.7500 0.1250  2 Cu 2.59, 2 Pt 2.59, 2 W 2.60
W8 0.7497 0.7500 0.6250  2 Cu 2.59, 2 Pt 2.59, 2 W 2.60


Entry 2:
This record from the Alexandria database describes an optimized crystal structure of CuPtW2. The functional is GGA-PBE.

Properties
As for the energy above the most stable polymorph in this dataset: 67 meV/atom. Its symmetry is P4mm (99). The value obtained for the raw total energy is -8.93 eV per atom.

Cell lengths 3.2609, 3.2609, 5.6983 Å; angles 90.00, 90.00, 90.00 degrees
Last column: nearest neighbours and their distance in Å.
Fractional coordinates of all 4 atoms:
Cu1 0.0000 0.0000 0.0000  4 Pt 2.64, 6 W 2.70-2.87
Pt1 0.5000 0.5000 0.2266  4 Cu 2.64, 5 W 2.70-2.80
W1 0.0000 0.0000 0.5040  4 W 2.71, 4 Pt 2.80, 2 Cu 2.83-2.87
W2 0.5000 0.5000 0.7530  2 Pt 2.70-3.00, 4 Cu 2.70, 4 W 2.71


Entry 3:
This record from the Alexandria database describes an optimized crystal structure of Cu3Pt4W. The functional is GGA-PBE.

Properties
Its symmetry is I4/mmm (139). The value obtained for the raw total energy is -6.37 eV per atom.

Cell lengths 3.9408, 3.9408, 14.8633 Å; angles 90.00, 90.00, 90.00 degrees
Last column: nearest neighbours and their distance in Å.
Fractional coordinates of all 16 atoms:
Cu1 0.0000 0.0000 0.0000  8 Pt 2.69, 4 W 2.79
Cu2 0.0000 0.0000 0.2469  8 Pt 2.70-2.76, 4 Cu 2.79
Cu3 0.0000 0.0000 0.7531  8 Pt 2.70-2.76, 4 Cu 2.79
Cu4 0.5000 0.5000 0.2531  8 Pt 2.70-2.76, 4 Cu 2.79
Cu5 0.5000 0.5000 0.5000  8 Pt 2.69, 4 W 2.79
Cu6 0.5000 0.5000 0.7469  8 Pt 2.70-2.76, 4 Cu 2.79
Pt1 0.0000 0.5000 0.1231  2 W 2.69, 6 Cu 2.69-2.76, 4 Pt 2.79
Pt2 0.0000 0.5000 0.3769  2 W 2.69, 6 Cu 2.69-2.76, 4 Pt 2.79
Pt3 0.0000 0.5000 0.6231  2 W 2.69, 6 Cu 2.69-2.76, 4 Pt 2.79
Pt4 0.0000 0.5000 0.8769  2 W 2.69, 6 Cu 2.69-2.76, 4 Pt 2.79
Pt5 0.5000 0.0000 0.1231  2 W 2.69, 6 Cu 2.69-2.76, 4 Pt 2.79
Pt6 0.5000 0.0000 0.3769  2 W 2.69, 6 Cu 2.69-2.76, 4 Pt 2.79
Pt7 0.5000 0.0000 0.6231  2 W 2.69, 6 Cu 2.69-2.76, 4 Pt 2.79
Pt8 0.5000 0.0000 0.8769  2 W 2.69, 6 Cu 2.69-2.76, 4 Pt 2.79
W1 0.0000 0.0000 0.5000  8 Pt 2.69, 4 Cu 2.79
W2 0.5000 0.5000 0.0000  8 Pt 2.69, 4 Cu 2.79